(1)
## Th3Mg7Zn4 (PBE)

Data for Th3Mg7Zn4 after structural relaxation. Values from VASP.

Results
- Total moment: 0.0 μB/f.u.
- Energy: -2.843 eV/atom
- ΔE_f: -124 kJ/mol of formula units

```
&SYSTEM
  ibrav = 0, nat = 14, ntyp = 3
/
ATOMIC_SPECIES
Th 232.04 Th.upf
Mg 24.30 Mg.upf
Zn 65.41 Zn.upf
ATOMIC_POSITIONS crystal
Th 0.2950 0.1928 0.2171
Th 0.7050 0.8072 0.7829
Th 0.0000 0.5000 0.5000
Mg 0.3326 0.8198 0.5151
Mg 0.4924 0.2073 0.8080
Mg 0.8393 0.3916 0.9299
Mg 0.6674 0.1802 0.4849
Mg 0.1607 0.6084 0.0701
Mg 0.0000 0.0000 0.0000
Mg 0.5076 0.7927 0.1920
Zn 0.6525 0.4601 0.2350
Zn 0.3475 0.5399 0.7650
Zn 0.8703 0.9134 0.3460
Zn 0.1297 0.0866 0.6540
CELL_PARAMETERS angstrom
0.5654 3.5683 -2.8870
-4.7170 6.5127 3.4217
5.1915 5.7590 4.4307
```

***

(2)
## YTmFeNi (PBE)

Data for YTmFeNi after structural relaxation. Values from VASP.

Results
- Total moment: 0.1 μB/f.u.
- Energy: -6.394 eV/atom
- ΔE_f: -38 kJ/mol of formula units

```
&SYSTEM
  ibrav = 0, nat = 4, ntyp = 4
/
ATOMIC_SPECIES
Y 88.91 Y.upf
Ni 58.69 Ni.upf
Tm 168.93 Tm.upf
Fe 55.84 Fe.upf
ATOMIC_POSITIONS crystal
Y 0.7500 0.7500 0.7500
Ni 0.5000 0.5000 0.5000
Tm 0.2500 0.2500 0.2500
Fe 0.0000 0.0000 0.0000
CELL_PARAMETERS angstrom
4.7068 0.0000 0.0000
2.3534 4.0762 0.0000
2.3534 1.3587 3.8430
```

***

(3)
## AcLaSn2O8 (PBE)

Data for AcLaSn2O8 after structural relaxation. Values from VASP.

Results
- Total moment: 2.1 μB/f.u.
- Energy: -6.811 eV/atom
- Uncorrected formation energy: -2085.3 meV per atom

```
&SYSTEM
  ibrav = 0, nat = 12, ntyp = 4
/
ATOMIC_SPECIES
Ac 227.00 Ac.upf
La 138.91 La.upf
Sn 118.71 Sn.upf
O 16.00 O.upf
ATOMIC_POSITIONS crystal
Ac 0.0000 0.0000 0.0000
La 0.7500 0.2500 0.5000
Sn 0.5000 0.5000 0.0000
Sn 0.2500 0.7500 0.5000
O 0.7659 0.8380 0.1848
O 0.4188 0.3468 0.1848
O 0.5817 0.6545 0.6782
O 0.0965 0.0237 0.6782
O 0.9763 0.4183 0.3218
O 0.3455 0.9035 0.3218
O 0.1620 0.5812 0.8152
O 0.6532 0.2341 0.8152
CELL_PARAMETERS angstrom
5.5889 0.0000 0.0000
0.0000 5.5889 0.0000
-2.7944 -2.7944 5.8947
```